PmHoSn3 after structural relaxation. Source: Alexandria via LeMat-Bulk, functional PBE.

a b c (Å): 4.370 6.588 9.953
angles (deg): 90.00 90.00 90.00
Sites, in units of the cell vectors:
Pm  0.250  0.250  0.115
Pm  0.750  0.750  0.885
Ho  0.250  0.750  0.454
Ho  0.750  0.250  0.546
Sn  0.250  0.007  0.716
Sn  0.250  0.493  0.716
Sn  0.250  0.750  0.132
Sn  0.750  0.250  0.868
Sn  0.750  0.507  0.284
Sn  0.750  0.993  0.284

Output
E_form ... -534 meV per atom
DOS(E_F) ... 4.98 states/eV/cell